No. 1
LaYZnIr after structural relaxation, computed with PBE.

Unit cell a=5.070 b=5.070 c=5.070 alpha=60.00 beta=60.00 gamma=60.00
Sites, in units of the cell vectors:
Zn  0.000  0.000  0.000
Ir  0.500  0.500  0.500
Y  0.750  0.750  0.750
La  0.250  0.250  0.250

E: -23.65 eV/f.u.
Formation energy: -0.530 eV/atom

No. 2
LaZnIr2 after structural relaxation, computed with PBE.

Unit cell a=4.938 b=4.938 c=4.938 alpha=127.21 beta=127.21 gamma=77.90
Sites, in units of the cell vectors:
Zn  0.750  0.250  0.500
La  0.250  0.750  0.500
Ir  0.500  0.500  0.000
Ir  0.000  0.000  0.000

E: -24.65 eV/f.u.
Formation energy: -0.181 eV/atom

No. 3
La6ZnIr after structural relaxation, computed with PBE.

Unit cell a=7.009 b=7.012 c=7.913 alpha=63.71 beta=63.72 gamma=60.02
Sites, in units of the cell vectors:
La  0.056  0.421  0.745
La  0.778  0.056  0.745
La  0.421  0.778  0.745
La  0.222  0.944  0.255
La  0.579  0.222  0.255
La  0.944  0.579  0.255
Ir  0.000  0.000  0.000
Zn  0.500  0.500  0.500

E: -41.06 eV/f.u.
Formation energy: -0.170 eV/atom

No. 4
LaZn2Ir2 after structural relaxation, computed with PBE.

Unit cell a=4.116 b=4.116 c=5.712 alpha=90.00 beta=90.00 gamma=90.00
Sites, in units of the cell vectors:
Ir  0.500  0.500  0.778
Ir  0.500  0.500  0.222
La  0.000  0.000  0.000
Zn  0.500  0.000  0.500
Zn  0.000  0.500  0.500

E: -27.74 eV/f.u.
Formation energy: -0.509 eV/atom
Energy above the lowest structure with this stoichiometry: 0 meV/atom

No. 5
La6ZnIr3 after structural relaxation, computed with PBE.

Unit cell a=4.284 b=12.288 c=12.340 alpha=110.05 beta=90.00 gamma=90.00
Sites, in units of the cell vectors:
La  0.750  0.456  0.602
La  0.250  0.221  0.239
La  0.750  0.779  0.761
La  0.250  0.871  0.544
La  0.750  0.129  0.456
La  0.750  0.930  0.089
La  0.250  0.070  0.911
La  0.250  0.283  0.736
La  0.250  0.544  0.398
La  0.250  0.605  0.944
La  0.750  0.395  0.056
La  0.750  0.717  0.264
Ir  0.750  0.445  0.833
Ir  0.750  0.160  0.078
Ir  0.250  0.840  0.922
Ir  0.250  0.301  0.499
Ir  0.250  0.555  0.167
Ir  0.750  0.699  0.501
Zn  0.750  0.055  0.702
Zn  0.250  0.945  0.298

E: -63.29 eV/f.u.
Formation energy: -0.587 eV/atom

No. 6
LaZn2Ir after structural relaxation, computed with PBE.

Unit cell a=5.613 b=7.396 c=15.508 alpha=90.00 beta=90.00 gamma=90.00
Sites, in units of the cell vectors:
Zn  0.251  0.061  0.454
Zn  0.081  0.550  0.795
Zn  0.919  0.050  0.205
Zn  0.581  0.050  0.705
Zn  0.749  0.939  0.546
Zn  0.249  0.439  0.954
Zn  0.919  0.450  0.205
Zn  0.081  0.950  0.795
Zn  0.751  0.939  0.046
Zn  0.581  0.450  0.705
Zn  0.419  0.950  0.295
Zn  0.249  0.061  0.954
Zn  0.751  0.561  0.046
Zn  0.251  0.439  0.454
Zn  0.419  0.550  0.295
Zn  0.749  0.561  0.546
La  0.260  0.750  0.596
La  0.439  0.250  0.144
La  0.939  0.750  0.356
La  0.561  0.750  0.856
La  0.061  0.250  0.644
La  0.740  0.250  0.404
La  0.760  0.250  0.904
La  0.240  0.750  0.096
Ir  0.007  0.750  0.934
Ir  0.670  0.750  0.192
Ir  0.993  0.250  0.066
Ir  0.330  0.250  0.808
Ir  0.493  0.750  0.434
Ir  0.170  0.250  0.308
Ir  0.830  0.750  0.692
Ir  0.507  0.250  0.566

E: -18.41 eV/f.u.
Formation energy: -0.517 eV/atom

No. 7
LaZn2Ir after structural relaxation, computed with PBE.

Unit cell a=4.638 b=4.638 c=5.228 alpha=72.78 beta=72.78 gamma=50.96
Sites, in units of the cell vectors:
Ir  0.250  0.250  0.250
La  0.750  0.750  0.750
Zn  0.965  0.965  0.126
Zn  0.535  0.535  0.374

E: -17.86 eV/f.u.
Formation energy: -0.381 eV/atom

No. 8
LaZn11Ir after structural relaxation, computed with PBE.

Unit cell a=5.118 b=6.926 c=6.956 alpha=82.14 beta=68.42 gamma=68.18
Sites, in units of the cell vectors:
Zn  0.723  0.776  0.775
Zn  0.979  0.360  0.650
Zn  0.000  0.500  0.000
Zn  0.277  0.224  0.225
Zn  0.497  0.776  0.225
Zn  0.371  0.640  0.650
Zn  0.000  0.000  0.500
Zn  0.021  0.640  0.350
Zn  0.500  0.000  0.500
Zn  0.503  0.224  0.775
Zn  0.629  0.360  0.350
Ir  0.500  0.500  0.000
La  0.000  0.000  0.000

E: -30.83 eV/f.u.
Formation energy: -0.233 eV/atom

No. 9
LaZn2Ir after structural relaxation, computed with PBE.

Unit cell a=4.447 b=4.447 c=9.708 alpha=76.76 beta=76.76 gamma=90.00
Sites, in units of the cell vectors:
Ir  0.000  0.000  0.000
Ir  0.750  0.250  0.500
Zn  0.375  0.200  0.750
Zn  0.875  0.050  0.750
Zn  0.800  0.125  0.250
Zn  0.950  0.625  0.250
La  0.250  0.750  0.500
La  0.500  0.500  0.000

E: -17.27 eV/f.u.
Formation energy: -0.235 eV/atom

No. 10
LaZn8Ir4 after structural relaxation, computed with PBE.

Unit cell a=5.621 b=6.762 c=6.762 alpha=80.05 beta=65.44 gamma=65.44
Sites, in units of the cell vectors:
Zn  0.342  0.658  0.658
Zn  0.000  0.658  0.342
Zn  0.500  0.770  0.230
Zn  0.730  0.770  0.770
Zn  0.658  0.342  0.342
Zn  0.270  0.230  0.230
Zn  0.000  0.342  0.658
Zn  0.500  0.230  0.770
Ir  0.000  0.000  0.500
Ir  0.000  0.500  0.000
Ir  0.500  0.500  0.000
Ir  0.500  0.000  0.500
La  0.000  0.000  0.000

E: -54.82 eV/f.u.
Formation energy: -0.327 eV/atom

No. 11
La3Zn2Ir after structural relaxation, computed with PBE.

Unit cell a=4.636 b=10.884 c=12.750 alpha=90.00 beta=90.00 gamma=90.00
Sites, in units of the cell vectors:
La  0.750  0.562  0.609
La  0.250  0.385  0.054
La  0.250  0.711  0.241
La  0.750  0.289  0.759
La  0.750  0.615  0.946
La  0.250  0.115  0.554
La  0.250  0.789  0.741
La  0.750  0.211  0.259
La  0.750  0.938  0.109
La  0.250  0.438  0.391
La  0.250  0.062  0.891
La  0.750  0.885  0.446
Zn  0.750  0.508  0.205
Zn  0.250  0.008  0.295
Zn  0.750  0.203  0.009
Zn  0.250  0.703  0.491
Zn  0.750  0.297  0.509
Zn  0.750  0.992  0.705
Zn  0.250  0.797  0.991
Zn  0.250  0.492  0.795
Ir  0.750  0.634  0.385
Ir  0.250  0.366  0.615
Ir  0.250  0.134  0.115
Ir  0.750  0.866  0.885

E: -28.92 eV/f.u.
Formation energy: -0.455 eV/atom

No. 12
La3Zn2Ir7 after structural relaxation, computed with PBE.

Unit cell a=5.510 b=5.510 c=9.049 alpha=72.27 beta=72.27 gamma=60.00
Sites, in units of the cell vectors:
La  0.140  0.140  0.580
La  0.860  0.860  0.420
La  0.000  0.000  0.000
Ir  0.585  0.077  0.754
Ir  0.923  0.415  0.246
Ir  0.415  0.923  0.246
Ir  0.415  0.415  0.246
Ir  0.077  0.585  0.754
Ir  0.500  0.500  0.500
Ir  0.585  0.585  0.754
Zn  0.335  0.335  0.995
Zn  0.665  0.665  0.005

E: -86.81 eV/f.u.
Formation energy: -0.621 eV/atom

- Look up the E of the seventh one.
  -17.86 eV/f.u.